First-principles (PBE) data for a geometry-optimized CdHg2As structure, as listed in the Alexandria database.

- Fermi-level density of states: 0.2119 states/eV/atom
- Distance to the lowest polymorph of the same formula: 0.1015 eV/atom
- Energy of formation from the pure elements: 184 meV/atom
- Crystal system: trigonal
- Mass density: 10.4 g/cm³
- SG: R3m

a = 10.443 Å, b = 10.443 Å, c = 10.443 Å
α = 17.89°, β = 17.89°, γ = 17.89°
Positions (direct):
As (0.494, 0.494, 0.494)
Hg (0.004, 0.004, 0.004)
Hg (0.248, 0.248, 0.248)
Cd (0.754, 0.754, 0.754)

---

First-principles (PBE) data for a geometry-optimized CdHg2As structure, as listed in the Alexandria database.

- Fermi-level density of states: 0.3436 states/eV/atom
- Distance to the lowest polymorph of the same formula: 0.1086 eV/atom
- Energy of formation from the pure elements: 191 meV/atom
- Crystal system: tetragonal
- Mass density: 10.3 g/cm³
- SG: P4/mmm

a = 5.428 Å, b = 4.172 Å, c = 4.172 Å
α = 90.00°, β = 90.00°, γ = 90.00°
Positions (direct):
As (0.500, 0.500, 0.000)
Hg (0.000, 0.000, 0.000)
Hg (0.000, 0.500, 0.500)
Cd (0.500, 0.000, 0.500)

---

First-principles (PBE) data for a geometry-optimized CdHg2AsI2 structure, as listed in the Alexandria database.

- Fermi-level density of states: 0.5667 states/eV/atom
- Energy relative to the elements, uncorrected: -66 kJ/mol of formula units
- Crystal system: orthorhombic
- Mass density: 6.2 g/cm³
- SG: Cmc2_1

a = 7.670 Å, b = 7.301 Å, c = 8.789 Å
α = 114.54°, β = 90.00°, γ = 90.00°
Positions (direct):
Cd (0.446, 0.990, 0.000)
Cd (0.946, 0.010, 0.000)
Hg (0.707, 0.816, 0.318)
Hg (0.707, 0.498, 0.682)
Hg (0.207, 0.502, 0.318)
Hg (0.207, 0.184, 0.682)
As (0.704, 0.760, 0.000)
As (0.204, 0.240, 0.000)
I (0.204, 0.945, 0.316)
I (0.204, 0.628, 0.684)
I (0.704, 0.055, 0.684)
I (0.704, 0.372, 0.316)

---

First-principles (PBE) data for a geometry-optimized Cd2Hg4AsI5 structure, as listed in the Alexandria database.

- Fermi-level density of states: 0.3456 states/eV/atom
- Energy relative to the elements, uncorrected: -189 kJ/mol of formula units
- Crystal system: orthorhombic
- Mass density: 5.9 g/cm³
- SG: Amm2

a = 8.270 Å, b = 8.410 Å, c = 8.114 Å
α = 90.00°, β = 90.00°, γ = 119.45°
Positions (direct):
Cd (0.035, 0.609, 0.500)
Cd (0.426, 0.391, 0.500)
Hg (0.540, 0.000, 0.323)
Hg (0.540, 0.000, 0.677)
Hg (0.339, 0.270, 0.000)
Hg (0.069, 0.730, 0.000)
As (0.417, 0.000, 0.000)
I (0.219, 0.484, 0.251)
I (0.131, 0.000, 0.500)
I (0.219, 0.484, 0.749)
I (0.735, 0.516, 0.749)
I (0.735, 0.516, 0.251)

---

First-principles (PBE) data for a geometry-optimized CdHgAsI structure, as listed in the Alexandria database.

- Fermi-level density of states: 0.0858 states/eV/atom
- Energy relative to the elements, uncorrected: -72 kJ/mol of formula units
- Crystal system: monoclinic
- Mass density: 5.9 g/cm³
- SG: Cm

a = 4.582 Å, b = 4.582 Å, c = 8.443 Å
α = 90.20°, β = 105.53°, γ = 120.01°
Positions (direct):
Cd (0.256, 0.011, 0.267)
Hg (0.140, 0.456, 0.596)
As (0.469, 0.120, 0.589)
I (0.464, 0.614, 0.078)

---

First-principles (PBE) data for a geometry-optimized Cd2HgAsIr structure, as listed in the Alexandria database.

- Fermi-level density of states: 0.2262 states/eV/atom
- Distance to the lowest polymorph of the same formula: 0.0000 eV/atom
- Energy of formation from the pure elements: 20 meV/atom
- Crystal system: tetragonal
- Mass density: 8.8 g/cm³
- SG: P4/mmm

a = 5.365 Å, b = 5.365 Å, c = 4.563 Å
α = 90.00°, β = 90.00°, γ = 90.00°
Positions (direct):
As (0.000, 0.000, 0.500)
Ir (0.000, 0.000, 0.000)
Hg (0.500, 0.500, 0.500)
Cd (0.000, 0.500, 0.000)
Cd (0.500, 0.000, 0.000)

---

First-principles (PBE) data for a geometry-optimized Cd2HgAsIr structure, as listed in the Alexandria database.

- Fermi-level density of states: 0.0710 states/eV/atom
- Distance to the lowest polymorph of the same formula: 0.4555 eV/atom
- Energy of formation from the pure elements: 475 meV/atom
- Crystal system: tetragonal
- Mass density: 8.7 g/cm³
- SG: P4/mmm

a = 5.386 Å, b = 4.567 Å, c = 5.386 Å
α = 90.00°, β = 90.00°, γ = 90.00°
Positions (direct):
As (0.000, 0.000, 0.000)
Ir (0.000, 0.500, 0.000)
Hg (0.500, 0.500, 0.500)
Cd (0.000, 0.000, 0.500)
Cd (0.500, 0.000, 0.000)

---

First-principles (PBE) data for a geometry-optimized Li2CdHgAs structure, as listed in the Alexandria database.

- Fermi-level density of states: 0.2915 states/eV/atom
- Distance to the lowest polymorph of the same formula: 0.0000 eV/atom
- Energy of formation from the pure elements: -259 meV/atom
- Crystal system: tetragonal
- Mass density: 5.2 g/cm³
- SG: P4/mmm

a = 4.886 Å, b = 4.886 Å, c = 5.388 Å
α = 90.00°, β = 90.00°, γ = 90.00°
Positions (direct):
As (0.000, 0.000, 0.000)
Li (0.000, 0.500, 0.000)
Li (0.500, 0.000, 0.000)
Hg (0.500, 0.500, 0.500)
Cd (0.000, 0.000, 0.500)